Below is crystalline NiBiC2O6 at its relaxed geometry, with properties calculated at the PBE with a Hubbard U level.

Output
- raw total energy (eV for the cell shown) = -198.1

Lattice parameters (Å, degrees): 4.7841 4.7841 18.0852 90.00 90.00 120.00
Space group R-3 (No. 148, hexagonal axes)
Inequivalent atoms, fractional coordinates:
Ni1 0.0000 0.0000 0.0000 [3 per cell]
Bi1 0.0000 0.0000 0.5000 [3 per cell]
C1 0.0000 0.0000 0.2681 [6 per cell]
O1 0.0211 0.7398 0.7346 [18 per cell]